Density functional theory data (PBE) for MnVS2N after structural relaxation.

Results
Its space-group type is P4/mmm, No. 123. The calculation puts the calculated volume at 80.9 Å³ per cell. Its distance to the lowest polymorph of the same formula is 0.0 meV per atom.

a b c (Å): 4.733 4.733 3.611
angles (deg): 90.00 90.00 90.00
Site moments in Bohr magnetons follow the coordinates.
Element x y z (fractional)
1 N 0.000 0.000 0.500  -0.02
2 S 0.000 0.500 0.000  0.02
3 S 0.500 0.000 0.000  0.02
4 Mn 0.500 0.500 0.500  4.41
5 V 0.000 0.000 0.000  0.25

---

Density functional theory data (PBE) for MnWSN2 after structural relaxation.

Results
Its space-group type is P4/mmm, No. 123. The calculation puts the calculated volume at 75.6 Å³ per cell. Its distance to the lowest polymorph of the same formula is 0.0 meV per atom.

a b c (Å): 3.886 3.886 5.008
angles (deg): 90.00 90.00 90.00
Site moments in Bohr magnetons follow the coordinates.
Element x y z (fractional)
1 S 0.000 0.000 0.500  0.03
2 Mn 0.500 0.500 0.500  4.37
3 W 0.000 0.000 0.000  -0.02
4 N 0.000 0.500 0.000  0.05
5 N 0.500 0.000 0.000  0.05

---

Density functional theory data (PBE) for MnWSN2 after structural relaxation.

Results
Its space-group type is P4/mmm, No. 123. The calculation puts the calculated volume at 61.3 Å³ per cell. Its distance to the lowest polymorph of the same formula is 780.5 meV per atom.

a b c (Å): 3.633 3.633 4.645
angles (deg): 90.00 90.00 90.00
Site moments in Bohr magnetons follow the coordinates.
Element x y z (fractional)
1 S 0.000 0.000 0.500  -0.04
2 Mn 0.000 0.000 0.000  1.04
3 W 0.500 0.500 0.500  1.94
4 N 0.000 0.500 0.000  -0.28
5 N 0.500 0.000 0.000  -0.28

---

Density functional theory data (PBE) for MnZnS2N after structural relaxation.

Results
Its space-group type is P4/mmm, No. 123. The calculation puts the calculated volume at 83.0 Å³ per cell. Its distance to the lowest polymorph of the same formula is 1171.3 meV per atom.

a b c (Å): 4.771 4.771 3.647
angles (deg): 90.00 90.00 90.00
Site moments in Bohr magnetons follow the coordinates.
Element x y z (fractional)
1 Zn 0.000 0.000 0.000  0.07
2 Mn 0.500 0.500 0.500  -0.03
3 S 0.000 0.500 0.000  0.20
4 S 0.500 0.000 0.000  0.20
5 N 0.000 0.000 0.500  1.00

---

Density functional theory data (PBE) for MnZnS2N after structural relaxation.

Results
Its space-group type is P4/mmm, No. 123. The calculation puts the calculated volume at 77.2 Å³ per cell. Its distance to the lowest polymorph of the same formula is 0.0 meV per atom.

a b c (Å): 4.723 4.723 3.460
angles (deg): 90.00 90.00 90.00
Site moments in Bohr magnetons follow the coordinates.
Element x y z (fractional)
1 Zn 0.500 0.500 0.500  0.01
2 Mn 0.000 0.000 0.000  1.89
3 S 0.000 0.500 0.000  -0.02
4 S 0.500 0.000 0.000  -0.02
5 N 0.000 0.000 0.500  -0.24

---

Density functional theory data (PBE) for ZrMnS2N after structural relaxation.

Results
Its space-group type is P4/mmm, No. 123. The calculation puts the calculated volume at 74.0 Å³ per cell. Its distance to the lowest polymorph of the same formula is 0.0 meV per atom.

a b c (Å): 4.617 4.617 3.474
angles (deg): 90.00 90.00 90.00
Site moments in Bohr magnetons follow the coordinates.
Element x y z (fractional)
1 S 0.000 0.500 0.000  0.00
2 S 0.500 0.000 0.000  0.00
3 Mn 0.000 0.000 0.000  0.75
4 Zr 0.500 0.500 0.500  -0.16
5 N 0.000 0.000 0.500  -0.07

---

Density functional theory data (PBE) for ZrMnS2N after structural relaxation.

Results
Its space-group type is P4/mmm, No. 123. The calculation puts the calculated volume at 104.3 Å³ per cell. Its distance to the lowest polymorph of the same formula is 294.8 meV per atom.

a b c (Å): 5.063 5.063 4.067
angles (deg): 90.00 90.00 90.00
Site moments in Bohr magnetons follow the coordinates.
Element x y z (fractional)
1 S 0.000 0.500 0.000  -0.05
2 S 0.500 0.000 0.000  -0.05
3 Mn 0.500 0.500 0.500  4.51
4 Zr 0.000 0.000 0.000  0.05
5 N 0.000 0.000 0.500  -0.36

---

Density functional theory data (PBE) for MnSbN2 after structural relaxation.

Results
Its space-group type is R-3m, No. 166. The calculation puts the calculated volume at 51.0 Å³ per cell.

a b c (Å): 6.537 6.537 6.537
angles (deg): 27.07 27.07 27.07
Site moments in Bohr magnetons follow the coordinates.
Element x y z (fractional)
1 Sb 0.000 0.000 0.000  0.01
2 Mn 0.500 0.500 0.500  2.76
3 N 0.885 0.885 0.885  -0.08
4 N 0.115 0.115 0.115  -0.08

---

Density functional theory data (PBE) for MnSbN2 after structural relaxation.

Results
Its space-group type is I-42d, No. 122. The calculation puts the calculated volume at 110.0 Å³ per cell.

a b c (Å): 5.059 5.059 5.591
angles (deg): 63.11 63.11 90.00
Element x y z (fractional)
1 Sb 0.000 0.000 0.000
2 Sb 0.750 0.250 0.500
3 Mn 0.500 0.500 0.000
4 Mn 0.250 0.750 0.500
5 N 0.517 0.125 0.250
6 N 0.233 0.625 0.250
7 N 0.375 0.483 0.750
8 N 0.875 0.767 0.750

---

Density functional theory data (PBE) for Mn2SbN3 after structural relaxation.

Results
Its space-group type is Cmc2_1, No. 36. The calculation puts the calculated volume at 145.9 Å³ per cell. Its distance to the lowest polymorph of the same formula is 0.0 meV per atom.

a b c (Å): 5.408 5.408 5.419
angles (deg): 90.00 90.00 112.98
Element x y z (fractional)
1 Mn 0.628 0.052 0.520
2 Mn 0.052 0.628 0.520
3 Mn 0.372 0.948 0.020
4 Mn 0.948 0.372 0.020
5 Sb 0.374 0.374 0.444
6 Sb 0.626 0.626 0.944
7 N 0.692 0.129 0.191
8 N 0.129 0.692 0.191
9 N 0.308 0.871 0.691
10 N 0.871 0.308 0.691
11 N 0.270 0.270 0.046
12 N 0.730 0.730 0.546

---

Density functional theory data (PBE) for Mn3SbN after structural relaxation.

Results
Its space-group type is Pm-3m, No. 221. The calculation puts the calculated volume at 133.3 Å³ per cell. Its distance to the lowest polymorph of the same formula is 1973.8 meV per atom.

a b c (Å): 5.108 5.108 5.108
angles (deg): 90.00 90.00 90.00
Site moments in Bohr magnetons follow the coordinates.
Element x y z (fractional)
1 Sb 0.000 0.000 0.000  -0.05
2 Mn 0.000 0.500 0.000  4.05
3 Mn 0.000 0.000 0.500  4.13
4 Mn 0.500 0.000 0.000  4.05
5 N 0.500 0.500 0.500  1.35

---

Density functional theory data (PBE) for MnSb2N after structural relaxation.

Results
Its space-group type is I-42d, No. 122. The calculation puts the calculated volume at 154.8 Å³ per cell.

a b c (Å): 5.664 5.664 6.270
angles (deg): 63.14 63.14 90.00
Element x y z (fractional)
1 Sb 0.591 0.125 0.250
2 Sb 0.159 0.625 0.250
3 Sb 0.375 0.409 0.750
4 Sb 0.875 0.841 0.750
5 Mn 0.000 0.000 0.000
6 Mn 0.750 0.250 0.500
7 N 0.500 0.500 0.000
8 N 0.250 0.750 0.500

---

Number 1: uncorrected formation energy 0.00 eV/atom, spin magnetization 5.1 μB/f.u.. Number 2: uncorrected formation energy 0.26 eV/atom, spin magnetization 4.8 μB/f.u.. Number 3: uncorrected formation energy 1.04 eV/atom, spin magnetization 2.7 μB/f.u.. Number 4: uncorrected formation energy 1.38 eV/atom, spin magnetization 2.0 μB/f.u.. Number 5: uncorrected formation energy 0.21 eV/atom, spin magnetization 1.7 μB/f.u.. Number 6: uncorrected formation energy -0.33 eV/atom, spin magnetization 0.5 μB/f.u.. Number 7: uncorrected formation energy -0.03 eV/atom, spin magnetization 4.3 μB/f.u.. Number 8: uncorrected formation energy 0.23 eV/atom, spin magnetization 2.7 μB/f.u.. Number 9: uncorrected formation energy 0.36 eV/atom, spin magnetization 0.0 μB/f.u.. Number 10: uncorrected formation energy 0.16 eV/atom, spin magnetization 0.0 μB/f.u.. Number 11: uncorrected formation energy 1.93 eV/atom, spin magnetization 15.0 μB/f.u.. Number 12: uncorrected formation energy 0.73 eV/atom, spin magnetization 0.0 μB/f.u..